Compound: Y3VCd
Source: Alexandria via LeMat-Bulk
Functional: GGA-PBE
Structure: relaxed

Calculated values
Mass density in Mg/m³: 4.87
Formation energy in meV per atom: 415
E in eV/atom: -5.470
Size of the total moment in μB per atom: 0.00
Energy above the most stable polymorph in this dataset in meV/atom: 0.0

a = 5.2719 Å, b = 5.2719 Å, c = 5.2719 Å
α = 90.00°, β = 90.00°, γ = 90.00°
With the nearest neighbours (Å) after each atom.
Fractional coordinates of all 5 atoms:
Y  0.0000  0.5000  0.0000  2 V 2.64
Y  0.5000  0.0000  0.0000  2 V 2.64
Cd  0.5000  0.5000  0.5000  12 Y 3.73
Y  0.0000  0.0000  0.5000  2 V 2.64
V  0.0000  0.0000  0.0000  6 Y 2.64